1.
Entry from the Alexandria database: a relaxed SrScGeF2 crystal (PBE-GGA).

Values from the calculation:
Final energy (eV/cell): -24.67
Total magnetic moment (μB/cell): 0.00
Raw formation energy (meV/atom): -1659

Cell: 4.3698 4.3698 9.8581 Å, 90.00 90.00 90.00°
Last column: nearest neighbours and their distance in Å.
Space group P4/mmm (No. 123)
Symmetry-distinct sites (fractional):
Sr 0.0000 0.0000 0.0000 (multiplicity 1)  4 F 2.18
Sc 0.0000 0.0000 0.5000 (multiplicity 1)  4 Ge 3.09
Ge 0.5000 0.5000 0.5000 (multiplicity 1)  4 Sc 3.09
F 0.0000 0.5000 0.0000 (multiplicity 2)  2 Sr 2.18

***

2.
Entry from the Alexandria database: a relaxed KTaIn2 crystal (PBE-GGA).

Values from the calculation:
Final energy (eV/cell): -34.96
Relative energy among the computed polymorphs (kJ/mol of formula units): 0
Total magnetic moment (μB/cell): 0.00

Cell: 4.2990 4.3117 10.4465 Å, 90.00 90.00 90.00°
Last column: nearest neighbours and their distance in Å.
Space group Cmmm (No. 65)
Symmetry-distinct sites (fractional):
K 0.0000 0.0000 0.0000 (multiplicity 2)  4 K 3.04
Ta 0.0000 0.0000 0.5000 (multiplicity 2)  4 Ta 3.04, 8 In 3.12-3.13
In 0.0000 0.5000 0.2834 (multiplicity 4)  4 In 3.04, 4 Ta 3.12-3.13

***

Question: What is the total magnetic moment in the first record?
Answer: 0.00 μB/cell

***

Question: Number 1 is which compound?
Answer: SrScGeF2

***

Question: Among the records above, which one has the highest final energy?
Answer: SrScGeF2